DFT (PBE) results for an optimized crystal structure of PuSnAs2.

Calculated values
ΔE to the lowest computed polymorph = 0.779 eV per atom

a b c (Å): 3.124 3.124 11.574
angles (deg): 82.24 82.24 60.00
Atoms (fractional coordinates):
As 0.915 0.915 0.255
As 0.085 0.085 0.745
Sn 0.500 0.500 0.500
Pu 0.000 0.000 0.000